VASP calculation (PBE) on a relaxed structure of HoErRuPb.

a b c (Å): 7.1924 7.1924 7.1924
angles (deg): 90.00 90.00 90.00
Last column: nearest neighbours and their distance in Å.
Element x y z (fractional)
Ho  0.0000  0.0000  0.0000  4 Pb 3.11, 4 Ru 3.11
Ho  0.0000  0.5000  0.5000  4 Pb 3.11, 4 Ru 3.11
Ho  0.5000  0.0000  0.5000  4 Pb 3.11, 4 Ru 3.11
Ho  0.5000  0.5000  0.0000  4 Pb 3.11, 4 Ru 3.11
Er  0.0000  0.0000  0.5000  4 Pb 3.11, 4 Ru 3.11
Er  0.0000  0.5000  0.0000  4 Pb 3.11, 4 Ru 3.11
Er  0.5000  0.0000  0.0000  4 Pb 3.11, 4 Ru 3.11
Er  0.5000  0.5000  0.5000  4 Pb 3.11, 4 Ru 3.11
Ru  0.2500  0.2500  0.2500  4 Ho 3.11, 4 Er 3.11
Ru  0.2500  0.7500  0.7500  4 Ho 3.11, 4 Er 3.11
Ru  0.7500  0.2500  0.7500  4 Ho 3.11, 4 Er 3.11
Ru  0.7500  0.7500  0.2500  4 Ho 3.11, 4 Er 3.11
Pb  0.2500  0.2500  0.7500  4 Ho 3.11, 4 Er 3.11
Pb  0.2500  0.7500  0.2500  4 Ho 3.11, 4 Er 3.11
Pb  0.7500  0.2500  0.2500  4 Ho 3.11, 4 Er 3.11
Pb  0.7500  0.7500  0.7500  4 Ho 3.11, 4 Er 3.11

energy of formation from the pure elements = -281 meV per atom
volume = 23.25 Å³/atom
space-group type = F-43m, No. 216
size of the total moment = 0.000 μB/atom
D(E_F) = 8.9 states/eV/cell

=====

VASP calculation (PBE) on a relaxed structure of TbCeTlIr.

a b c (Å): 7.3114 7.3114 7.3114
angles (deg): 90.00 90.00 90.00
Last column: nearest neighbours and their distance in Å.
Element x y z (fractional)
Tb  0.0000  0.0000  0.0000  4 Tl 3.17, 4 Ir 3.17
Tb  0.0000  0.5000  0.5000  4 Tl 3.17, 4 Ir 3.17
Tb  0.5000  0.0000  0.5000  4 Tl 3.17, 4 Ir 3.17
Tb  0.5000  0.5000  0.0000  4 Tl 3.17, 4 Ir 3.17
Ce  0.0000  0.0000  0.5000  4 Tl 3.17, 4 Ir 3.17
Ce  0.0000  0.5000  0.0000  4 Tl 3.17, 4 Ir 3.17
Ce  0.5000  0.0000  0.0000  4 Tl 3.17, 4 Ir 3.17
Ce  0.5000  0.5000  0.5000  4 Tl 3.17, 4 Ir 3.17
Tl  0.2500  0.2500  0.2500  4 Tb 3.17, 4 Ce 3.17
Tl  0.2500  0.7500  0.7500  4 Tb 3.17, 4 Ce 3.17
Tl  0.7500  0.2500  0.7500  4 Tb 3.17, 4 Ce 3.17
Tl  0.7500  0.7500  0.2500  4 Tb 3.17, 4 Ce 3.17
Ir  0.2500  0.2500  0.7500  4 Tb 3.17, 4 Ce 3.17
Ir  0.2500  0.7500  0.2500  4 Tb 3.17, 4 Ce 3.17
Ir  0.7500  0.2500  0.2500  4 Tb 3.17, 4 Ce 3.17
Ir  0.7500  0.7500  0.7500  4 Tb 3.17, 4 Ce 3.17

energy of formation from the pure elements = -363 meV per atom
volume = 24.43 Å³/atom
space-group type = F-43m, No. 216
size of the total moment = 0.147 μB/atom
offset from the most stable computed form = 183.5 meV per atom
D(E_F) = 30.0 states/eV/cell

=====

VASP calculation (PBE) on a relaxed structure of LiMn3N.

a b c (Å): 4.1703 4.1703 4.1703
angles (deg): 90.00 90.00 90.00
Last column: nearest neighbours and their distance in Å.
Element x y z (fractional)
Li  0.0000  0.0000  0.0000  6 Mn 2.09
Mn  0.0000  0.0000  0.5000  2 Li 2.09
Mn  0.0000  0.5000  0.0000  2 Li 2.09
Mn  0.5000  0.0000  0.0000  2 Li 2.09
N  0.5000  0.5000  0.5000  12 Mn 2.95

volume = 14.51 Å³/atom
formation energy (no corrections) = 1822 meV/atom
space-group type = Pm-3m, No. 221
size of the total moment = 2.233 μB/atom
offset from the most stable computed form = 1887.6 meV per atom
D(E_F) = 2.2 states/eV/cell

=====

VASP calculation (PBE) on a relaxed structure of NaCaSeCl.

a b c (Å): 4.2193 4.2193 20.3773
angles (deg): 90.00 90.00 120.00
Last column: nearest neighbours and their distance in Å.
Element x y z (fractional)
Na  0.0000  0.0000  0.0000  3 Se 2.92, 3 Cl 3.13
Na  0.3333  0.6667  0.6667  3 Se 2.92, 3 Cl 3.13
Na  0.6667  0.3333  0.3333  3 Se 2.92, 3 Cl 3.13
Ca  0.0000  0.0000  0.4859  3 Se 2.86, 3 Cl 2.98
Ca  0.3333  0.6667  0.1526  3 Se 2.86, 3 Cl 2.98
Ca  0.6667  0.3333  0.8192  3 Se 2.86, 3 Cl 2.98
Se  0.0000  0.0000  0.7460  3 Ca 2.86, 3 Na 2.92
Se  0.3333  0.6667  0.4127  3 Ca 2.86, 3 Na 2.92
Se  0.6667  0.3333  0.0794  3 Ca 2.86, 3 Na 2.92
Cl  0.0000  0.0000  0.2367  3 Ca 2.98, 3 Na 3.13
Cl  0.3333  0.6667  0.9034  3 Ca 2.98, 3 Na 3.13
Cl  0.6667  0.3333  0.5700  3 Ca 2.98, 3 Na 3.13

volume = 26.18 Å³/atom
formation energy (no corrections) = -1823 meV/atom
space-group type = R3m, No. 160
size of the total moment = 0.000 μB/atom
D(E_F) = 0.0 states/eV/cell

=====

VASP calculation (PBE) on a relaxed structure of Nd3Ge2I2.

a b c (Å): 4.2517 7.4722 8.1159
angles (deg): 80.91 89.90 73.71
Last column: nearest neighbours and their distance in Å.
Element x y z (fractional)
Nd  0.0000  0.0000  0.0000  4 Ge 2.99, 2 I 3.32
Nd  0.2418  0.5131  0.7770  3 Ge 2.97-2.99, 2 I 3.28
Nd  0.7582  0.4869  0.2230  3 Ge 2.97-2.99, 2 I 3.28
Ge  0.3759  0.2516  0.1007  5 Nd 2.97-2.99
Ge  0.6241  0.7484  0.8993  5 Nd 2.97-2.99
I  0.1244  0.7552  0.3844  4 Nd 3.28-3.37
I  0.8756  0.2448  0.6156  4 Nd 3.28-3.37

volume = 34.88 Å³/atom
formation energy (no corrections) = -879 meV/atom
space-group type = P-1, No. 2
size of the total moment = 0.000 μB/atom
D(E_F) = 4.8 states/eV/cell

=====

VASP calculation (PBE) on a relaxed structure of Dy2Ho3Mg8.

a b c (Å): 12.7552 12.7552 12.7552
angles (deg): 26.42 26.42 26.42
Last column: nearest neighbours and their distance in Å.
Element x y z (fractional)
Dy  0.1399  0.1399  0.1399  4 Mg 3.15-3.30, 3 Ho 3.51
Dy  0.8601  0.8601  0.8601  4 Mg 3.15-3.30, 3 Ho 3.51
Ho  0.3165  0.3165  0.3165  10 Mg 3.37-3.39, 3 Ho 3.59
Ho  0.5000  0.5000  0.5000  6 Dy 3.51
Ho  0.6835  0.6835  0.6835  10 Mg 3.37-3.39, 3 Ho 3.59
Mg  0.2252  0.2252  0.2252  1 Dy 3.15, 6 Mg 3.35, 1 Ho 3.37
Mg  0.2301  0.2301  0.7292  4 Mg 2.91-2.92
Mg  0.2301  0.7292  0.2301  4 Mg 2.91-2.92
Mg  0.2708  0.7699  0.7699  4 Mg 2.91-2.92
Mg  0.7292  0.2301  0.2301  4 Mg 2.91-2.92
Mg  0.7699  0.2708  0.7699  4 Mg 2.91-2.92
Mg  0.7699  0.7699  0.2708  4 Mg 2.91-2.92
Mg  0.7748  0.7748  0.7748  1 Dy 3.15, 6 Mg 3.35, 1 Ho 3.37

energy of formation from the pure elements = 128 meV per atom
volume = 27.85 Å³/atom
space-group type = R-3m, No. 166
size of the total moment = 0.000 μB/atom
D(E_F) = 14.0 states/eV/cell

=====

VASP calculation (PBE) on a relaxed structure of PuPaBi.

a b c (Å): 4.2085 4.2085 9.2440
angles (deg): 90.00 90.00 90.00
Last column: nearest neighbours and their distance in Å.
Element x y z (fractional)
Pu  0.0000  0.0000  0.0000  1 Pa 2.66
Pu  0.5000  0.5000  0.5000  1 Pa 2.66
Pa  0.0000  0.0000  0.7126  1 Pu 2.66
Pa  0.5000  0.5000  0.2126  1 Pu 2.66
Bi  0.0000  0.0000  0.3577  5 Pu 3.25-3.31, 5 Pa 3.26-3.28
Bi  0.5000  0.5000  0.8577  5 Pu 3.25-3.31, 5 Pa 3.26-3.28

energy of formation from the pure elements = -139 meV per atom
volume = 27.29 Å³/atom
space-group type = I4mm, No. 107
size of the total moment = 2.135 μB/atom
offset from the most stable computed form = 0.0 meV per atom
D(E_F) = 12.8 states/eV/cell

=====

VASP calculation (PBE) on a relaxed structure of BaBeGa.

a b c (Å): 11.4972 4.1225 7.6391
angles (deg): 90.00 126.42 90.00
Last column: nearest neighbours and their distance in Å.
Element x y z (fractional)
Ba  0.0727  0.0000  0.3462  4 Be 3.21-3.35, 4 Ga 3.46-3.49
Ba  0.4273  0.5000  0.6538  4 Be 3.21-3.35, 4 Ga 3.46-3.49
Ba  0.5727  0.5000  0.3462  4 Be 3.21-3.35, 4 Ga 3.46-3.49
Ba  0.9273  0.0000  0.6538  4 Be 3.21-3.35, 4 Ga 3.46-3.49
Be  0.1213  0.5000  0.0487  3 Ga 2.40-2.51, 1 Be 2.42
Be  0.3787  0.0000  0.9513  3 Ga 2.40-2.51, 1 Be 2.42
Be  0.6213  0.0000  0.0487  3 Ga 2.40-2.51, 1 Be 2.42
Be  0.8787  0.5000  0.9513  3 Ga 2.40-2.51, 1 Be 2.42
Ga  0.2269  0.5000  0.8566  3 Be 2.40-2.51
Ga  0.2731  0.0000  0.1434  3 Be 2.40-2.51
Ga  0.7269  0.0000  0.8566  3 Be 2.40-2.51
Ga  0.7731  0.5000  0.1434  3 Be 2.40-2.51

energy of formation from the pure elements = -51 meV per atom
volume = 24.28 Å³/atom
space-group type = C2/m, No. 12
size of the total moment = 0.000 μB/atom
offset from the most stable computed form = 114.2 meV per atom
D(E_F) = 6.4 states/eV/cell